Entry 1:
Compound: ZnPtW
Source: Alexandria via LeMat-Bulk
Functional: GGA-PBE
Structure: optimized geometry

Unit cell a=2.757 b=3.975 c=8.285 alpha=90.00 beta=90.00 gamma=90.00
Space group Imm2 (No. 44)
Inequivalent atoms, fractional coordinates:
Zn 0.000 0.000 0.000 x2
Pt 0.000 0.000 0.666 x2
W 0.000 0.000 0.335 x2

Properties
Offset from the most stable computed form   13.7 kJ/mol of atoms
Total magnetization   0.00 μB per formula unit
E_form   0.02 eV per atom
Final energy   -40.44 eV per cell

Entry 2:
Compound: SrTl2BiH
Source: Alexandria via LeMat-Bulk
Functional: GGA-PBE
Structure: optimized geometry

Unit cell a=5.115 b=5.115 c=5.163 alpha=90.00 beta=90.00 gamma=90.00
Space group P4/mmm (No. 123)
Inequivalent atoms, fractional coordinates:
Sr 0.000 0.000 0.000 x1
Tl 0.000 0.500 0.500 x2
Bi 0.500 0.500 0.000 x1
H 0.000 0.000 0.500 x1

Properties
Total magnetization   0.00 μB per formula unit
Final energy   -14.90 eV per cell